Entry 1:
Here is crystalline DySbSe at its relaxed geometry from Alexandria. Energies are from GGA-PBE.

a b c (Å): 9.424 9.424 9.424
angles (deg): 154.59 154.59 36.25
Positions (direct):
Dy  0.149  0.149  0.000
Dy  0.851  0.851  0.000
Sb  0.000  0.500  0.500
Sb  0.500  0.000  0.500
Se  0.312  0.312  0.000
Se  0.688  0.688  0.000

Output
Crystal system: tetragonal
Size of the total moment, μB per formula unit: 0.0
VASP energy, eV/cell: -32.166

Entry 2:
Here is crystalline Dy3Sb5Se12 at its relaxed geometry from Alexandria. Energies are from GGA-PBE.

a b c (Å): 14.639 14.639 14.639
angles (deg): 109.47 109.47 109.47
Positions (direct):
Dy  0.125  0.250  0.375
Dy  0.125  0.375  0.750
Dy  0.250  0.375  0.125
Dy  0.250  0.875  0.625
Dy  0.375  0.125  0.250
Dy  0.375  0.750  0.125
Dy  0.625  0.250  0.875
Dy  0.625  0.875  0.750
Dy  0.750  0.125  0.375
Dy  0.750  0.625  0.875
Dy  0.875  0.625  0.250
Dy  0.875  0.750  0.625
Sb  0.000  0.000  0.000
Sb  0.000  0.000  0.500
Sb  0.000  0.500  0.000
Sb  0.000  0.500  0.500
Sb  0.125  0.750  0.875
Sb  0.125  0.875  0.250
Sb  0.250  0.125  0.875
Sb  0.250  0.625  0.375
Sb  0.375  0.250  0.625
Sb  0.375  0.625  0.750
Sb  0.500  0.000  0.000
Sb  0.500  0.000  0.500
Sb  0.500  0.500  0.000
Sb  0.500  0.500  0.500
Sb  0.625  0.375  0.250
Sb  0.625  0.750  0.375
Sb  0.750  0.375  0.625
Sb  0.750  0.875  0.125
Sb  0.875  0.125  0.750
Sb  0.875  0.250  0.125
Se  0.055  0.223  0.140
Se  0.055  0.331  0.915
Se  0.084  0.723  0.669
Se  0.084  0.860  0.415
Se  0.085  0.640  0.416
Se  0.085  0.945  0.669
Se  0.140  0.055  0.223
Se  0.140  0.585  0.916
Se  0.169  0.223  0.584
Se  0.169  0.445  0.585
Se  0.223  0.140  0.055
Se  0.223  0.584  0.169
Se  0.277  0.331  0.916
Se  0.277  0.445  0.360
Se  0.331  0.915  0.055
Se  0.331  0.916  0.277
Se  0.360  0.277  0.445
Se  0.360  0.584  0.915
Se  0.415  0.084  0.860
Se  0.415  0.831  0.555
Se  0.416  0.085  0.640
Se  0.416  0.831  0.777
Se  0.445  0.360  0.277
Se  0.445  0.585  0.169
Se  0.555  0.415  0.831
Se  0.555  0.640  0.723
Se  0.584  0.169  0.223
Se  0.584  0.915  0.360
Se  0.585  0.169  0.445
Se  0.585  0.916  0.140
Se  0.640  0.416  0.085
Se  0.640  0.723  0.555
Se  0.669  0.084  0.723
Se  0.669  0.085  0.945
Se  0.723  0.555  0.640
Se  0.723  0.669  0.084
Se  0.777  0.416  0.831
Se  0.777  0.860  0.945
Se  0.831  0.555  0.415
Se  0.831  0.777  0.416
Se  0.860  0.415  0.084
Se  0.860  0.945  0.777
Se  0.915  0.055  0.331
Se  0.915  0.360  0.584
Se  0.916  0.140  0.585
Se  0.916  0.277  0.331
Se  0.945  0.669  0.085
Se  0.945  0.777  0.860

Output
Crystal system: cubic
Size of the total moment, μB per formula unit: 0.0
VASP energy, eV/cell: -358.742

Entry 3:
Here is crystalline Dy5Sb2Se2 at its relaxed geometry from Alexandria. Energies are from GGA-PBE.

a b c (Å): 8.396 8.396 7.961
angles (deg): 90.00 90.00 55.77
Positions (direct):
Dy  0.000  0.000  0.000
Dy  0.019  0.696  0.653
Dy  0.196  0.519  0.153
Dy  0.304  0.981  0.653
Dy  0.481  0.804  0.153
Dy  0.500  0.500  0.500
Dy  0.519  0.196  0.847
Dy  0.696  0.019  0.347
Dy  0.804  0.481  0.847
Dy  0.981  0.304  0.347
Sb  0.144  0.856  0.356
Sb  0.356  0.644  0.856
Sb  0.644  0.356  0.144
Sb  0.856  0.144  0.644
Se  0.195  0.195  0.000
Se  0.305  0.305  0.500
Se  0.695  0.695  0.500
Se  0.805  0.805  0.000

Output
Crystal system: orthorhombic
Size of the total moment, μB per formula unit: 0.0
VASP energy, eV/cell: -97.621

Entry 4:
Here is crystalline Dy4SbSe2 at its relaxed geometry from Alexandria. Energies are from GGA-PBE.

a b c (Å): 6.929 6.929 13.765
angles (deg): 90.00 90.00 145.56
Positions (direct):
Dy  0.000  0.000  0.000
Dy  0.000  0.000  0.500
Dy  0.273  0.727  0.623
Dy  0.273  0.727  0.877
Dy  0.432  0.568  0.250
Dy  0.568  0.432  0.750
Dy  0.727  0.273  0.123
Dy  0.727  0.273  0.377
Sb  0.103  0.897  0.250
Sb  0.897  0.103  0.750
Se  0.363  0.637  0.060
Se  0.363  0.637  0.440
Se  0.637  0.363  0.560
Se  0.637  0.363  0.940

Output
Crystal system: orthorhombic
Size of the total moment, μB per formula unit: 0.0
VASP energy, eV/cell: -77.429

Entry 5:
Here is crystalline DySbSe2 at its relaxed geometry from Alexandria. Energies are from GGA-PBE.

a b c (Å): 9.225 9.225 9.225
angles (deg): 25.01 25.01 25.01
Positions (direct):
Dy  0.000  0.000  0.000
Sb  0.500  0.500  0.500
Se  0.395  0.395  0.395
Se  0.605  0.605  0.605

Output
Crystal system: trigonal
Size of the total moment, μB per formula unit: 0.0
VASP energy, eV/cell: -19.728

Entry 6:
Here is crystalline DySbSe3 at its relaxed geometry from Alexandria. Energies are from GGA-PBE.

a b c (Å): 7.259 4.082 10.360
angles (deg): 90.00 90.01 90.00
Positions (direct):
Dy  0.074  0.250  0.172
Dy  0.926  0.750  0.828
Sb  0.414  0.250  0.808
Sb  0.586  0.750  0.192
Se  0.097  0.250  0.677
Se  0.232  0.750  0.006
Se  0.416  0.250  0.325
Se  0.584  0.750  0.675
Se  0.768  0.250  0.994
Se  0.903  0.750  0.323

Output
Crystal system: monoclinic
Size of the total moment, μB per formula unit: 0.0
VASP energy, eV/cell: -48.916